(1)
# VPt14Rh (PBE, optimized geometry)
data_VPt14Rh
_space_group_name_H-M_alt 'P 1'
_space_group_IT_number 1
_space_group_name_Hall 'P 1'
_cell_length_a 5.6103
_cell_length_b 5.6103
_cell_length_c 7.8186
_cell_angle_alpha 90.00
_cell_angle_beta 90.00
_cell_angle_gamma 90.00
loop_
_atom_site_label
_atom_site_type_symbol
_atom_site_fract_x
_atom_site_fract_y
_atom_site_fract_z
V1 V 0.0000 0.0000 0.0000
Pt1 Pt 0.0000 0.0000 0.5000
Pt2 Pt 0.0000 0.5000 0.0000
Pt3 Pt 0.0000 0.5000 0.5000
Pt4 Pt 0.2475 0.2475 0.2422
Pt5 Pt 0.2475 0.2475 0.7578
Pt6 Pt 0.2475 0.7525 0.2422
Pt7 Pt 0.2475 0.7525 0.7578
Pt8 Pt 0.5000 0.0000 0.0000
Pt9 Pt 0.5000 0.0000 0.5000
Pt10 Pt 0.5000 0.5000 0.5000
Pt11 Pt 0.7525 0.2475 0.2422
Pt12 Pt 0.7525 0.2475 0.7578
Pt13 Pt 0.7525 0.7525 0.2422
Pt14 Pt 0.7525 0.7525 0.7578
Rh1 Rh 0.5000 0.5000 0.0000
# - M_tot (μB/f.u.) = 0.01
# - density (g/cm3) = 19.5
# - energy of formation (meV per atom) = -147
# - calculated total energy (eV per atom) = -6.462
# - space-group type = No. 123

---

(2)
# VPtRh (PBE, optimized geometry)
data_VPtRh
_space_group_name_H-M_alt 'P 1'
_space_group_IT_number 1
_space_group_name_Hall 'P 1'
_cell_length_a 4.9693
_cell_length_b 4.9693
_cell_length_c 7.0002
_cell_angle_alpha 108.75
_cell_angle_beta 108.75
_cell_angle_gamma 32.06
loop_
_atom_site_label
_atom_site_type_symbol
_atom_site_fract_x
_atom_site_fract_y
_atom_site_fract_z
V1 V 0.0349 0.0349 0.2674
V2 V 0.9651 0.9651 0.7326
Pt1 Pt 0.3372 0.3372 0.3931
Pt2 Pt 0.6628 0.6628 0.6069
Rh1 Rh 0.3588 0.3588 0.9694
Rh2 Rh 0.6412 0.6412 0.0306
# - M_tot (μB/f.u.) = 0.00
# - density (g/cm3) = 13.4
# - energy of formation (meV per atom) = -445
# - calculated total energy (eV per atom) = -7.949
# - space-group type = No. 12

---

(3)
# VPtRh (PBE, optimized geometry)
data_VPtRh
_space_group_name_H-M_alt 'P 1'
_space_group_IT_number 1
_space_group_name_Hall 'P 1'
_cell_length_a 4.0996
_cell_length_b 4.0996
_cell_length_c 4.0996
_cell_angle_alpha 60.00
_cell_angle_beta 60.00
_cell_angle_gamma 60.00
loop_
_atom_site_label
_atom_site_type_symbol
_atom_site_fract_x
_atom_site_fract_y
_atom_site_fract_z
V1 V 0.0000 0.0000 0.0000
Pt1 Pt 0.7500 0.7500 0.7500
Rh1 Rh 0.2500 0.2500 0.2500
# - M_tot (μB/f.u.) = 0.00
# - density (g/cm3) = 11.9
# - energy of formation (meV per atom) = -237
# - calculated total energy (eV per atom) = -7.740
# - space-group type = No. 216

---

(4)
# VPt5Rh6 (PBE, optimized geometry)
data_VPt5Rh6
_space_group_name_H-M_alt 'P 1'
_space_group_IT_number 1
_space_group_name_Hall 'P 1'
_cell_length_a 6.1452
_cell_length_b 6.1452
_cell_length_c 7.7657
_cell_angle_alpha 90.00
_cell_angle_beta 90.00
_cell_angle_gamma 143.17
loop_
_atom_site_label
_atom_site_type_symbol
_atom_site_fract_x
_atom_site_fract_y
_atom_site_fract_z
V1 V 0.0000 0.0000 0.0000
Pt1 Pt 0.0000 0.0000 0.5000
Pt2 Pt 0.3352 0.6648 0.5000
Pt3 Pt 0.3401 0.6599 0.0000
Pt4 Pt 0.6599 0.3401 0.0000
Pt5 Pt 0.6648 0.3352 0.5000
Rh1 Rh 0.1647 0.8353 0.2424
Rh2 Rh 0.1647 0.8353 0.7576
Rh3 Rh 0.5000 0.5000 0.2410
Rh4 Rh 0.5000 0.5000 0.7590
Rh5 Rh 0.8353 0.1647 0.2424
Rh6 Rh 0.8353 0.1647 0.7576
# - M_tot (μB/f.u.) = 0.00
# - density (g/cm3) = 15.5
# - energy of formation (meV per atom) = -200
# - calculated total energy (eV per atom) = -7.152
# - space-group type = No. 65

---

(5)
# VPtRh (PBE, optimized geometry)
data_VPtRh
_space_group_name_H-M_alt 'P 1'
_space_group_IT_number 1
_space_group_name_Hall 'P 1'
_cell_length_a 6.0005
_cell_length_b 6.0005
_cell_length_c 5.6008
_cell_angle_alpha 90.00
_cell_angle_beta 90.00
_cell_angle_gamma 153.60
loop_
_atom_site_label
_atom_site_type_symbol
_atom_site_fract_x
_atom_site_fract_y
_atom_site_fract_z
V1 V 0.0000 0.0000 0.0000
V2 V 0.0000 0.0000 0.5000
Pt1 Pt 0.3493 0.6507 0.7500
Pt2 Pt 0.6507 0.3493 0.2500
Rh1 Rh 0.3559 0.6441 0.2500
Rh2 Rh 0.6441 0.3559 0.7500
# - M_tot (μB/f.u.) = 0.19
# - density (g/cm3) = 12.9
# - energy of formation (meV per atom) = -345
# - calculated total energy (eV per atom) = -7.849
# - space-group type = No. 63

---

(6)
# V2Pt8Rh (PBE, optimized geometry)
data_V2Pt8Rh
_space_group_name_H-M_alt 'P 1'
_space_group_IT_number 1
_space_group_name_Hall 'P 1'
_cell_length_a 7.3125
_cell_length_b 7.3125
_cell_length_c 6.2720
_cell_angle_alpha 105.56
_cell_angle_beta 105.56
_cell_angle_gamma 30.97
loop_
_atom_site_label
_atom_site_type_symbol
_atom_site_fract_x
_atom_site_fract_y
_atom_site_fract_z
V1 V 0.2226 0.2226 0.1526
V2 V 0.7774 0.7774 0.8474
Pt1 Pt 0.0474 0.0474 0.2318
Pt2 Pt 0.1461 0.1461 0.7081
Pt3 Pt 0.3175 0.3175 0.5884
Pt4 Pt 0.4005 0.4005 0.0419
Pt5 Pt 0.5995 0.5995 0.9581
Pt6 Pt 0.6825 0.6825 0.4116
Pt7 Pt 0.8539 0.8539 0.2919
Pt8 Pt 0.9526 0.9526 0.7682
Rh1 Rh 0.5000 0.5000 0.5000
# - M_tot (μB/f.u.) = 0.00
# - density (g/cm3) = 17.7
# - energy of formation (meV per atom) = -349
# - calculated total energy (eV per atom) = -7.069
# - space-group type = No. 12

---

(7)
# V6PtRh5 (PBE, optimized geometry)
data_V6PtRh5
_space_group_name_H-M_alt 'P 1'
_space_group_IT_number 1
_space_group_name_Hall 'P 1'
_cell_length_a 7.1521
_cell_length_b 7.1521
_cell_length_c 7.1521
_cell_angle_alpha 148.68
_cell_angle_beta 117.71
_cell_angle_gamma 71.38
loop_
_atom_site_label
_atom_site_type_symbol
_atom_site_fract_x
_atom_site_fract_y
_atom_site_fract_z
V1 V 0.0796 0.3323 0.7473
V2 V 0.2447 0.0000 0.2447
V3 V 0.4150 0.6677 0.7473
V4 V 0.5850 0.3323 0.2527
V5 V 0.7553 0.0000 0.7553
V6 V 0.9204 0.6677 0.2527
Pt1 Pt 0.5000 0.5000 0.0000
Rh1 Rh 0.0000 0.5000 0.5000
Rh2 Rh 0.1674 0.1674 0.0000
Rh3 Rh 0.3341 0.8341 0.5000
Rh4 Rh 0.6659 0.1659 0.5000
Rh5 Rh 0.8326 0.8326 0.0000
# - M_tot (μB/f.u.) = 0.00
# - density (g/cm3) = 10.2
# - energy of formation (meV per atom) = -412
# - calculated total energy (eV per atom) = -8.538
# - space-group type = No. 71

---

(8)
# V4PtRh7 (PBE, optimized geometry)
data_V4PtRh7
_space_group_name_H-M_alt 'P 1'
_space_group_IT_number 1
_space_group_name_Hall 'P 1'
_cell_length_a 5.7517
_cell_length_b 5.7517
_cell_length_c 8.6414
_cell_angle_alpha 117.04
_cell_angle_beta 117.04
_cell_angle_gamma 48.30
loop_
_atom_site_label
_atom_site_type_symbol
_atom_site_fract_x
_atom_site_fract_y
_atom_site_fract_z
V1 V 0.0746 0.0746 0.2704
V2 V 0.2297 0.2297 0.8237
V3 V 0.7703 0.7703 0.1763
V4 V 0.9254 0.9254 0.7296
Pt1 Pt 0.5000 0.5000 0.5000
Rh1 Rh 0.0000 0.0000 0.5000
Rh2 Rh 0.1499 0.1499 0.0678
Rh3 Rh 0.2860 0.2860 0.5951
Rh4 Rh 0.4291 0.4291 0.1403
Rh5 Rh 0.5709 0.5709 0.8597
Rh6 Rh 0.7140 0.7140 0.4049
Rh7 Rh 0.8501 0.8501 0.9322
# - M_tot (μB/f.u.) = 0.00
# - density (g/cm3) = 10.0
# - energy of formation (meV per atom) = 109
# - calculated total energy (eV per atom) = -7.722
# - space-group type = No. 12

---

(9)
# VPtRh (PBE, optimized geometry)
data_VPtRh
_space_group_name_H-M_alt 'P 1'
_space_group_IT_number 1
_space_group_name_Hall 'P 1'
_cell_length_a 4.7893
_cell_length_b 4.7893
_cell_length_c 5.4596
_cell_angle_alpha 108.92
_cell_angle_beta 108.92
_cell_angle_gamma 47.38
loop_
_atom_site_label
_atom_site_type_symbol
_atom_site_fract_x
_atom_site_fract_y
_atom_site_fract_z
V1 V 0.1676 0.1676 0.1097
V2 V 0.8324 0.8324 0.8903
Pt1 Pt 0.4906 0.4906 0.2353
Pt2 Pt 0.5094 0.5094 0.7647
Rh1 Rh 0.1752 0.1752 0.6041
Rh2 Rh 0.8248 0.8248 0.3959
# - M_tot (μB/f.u.) = 0.00
# - density (g/cm3) = 13.4
# - energy of formation (meV per atom) = -415
# - calculated total energy (eV per atom) = -7.918
# - space-group type = No. 12

---

(10)
# V3Pt2Rh2 (PBE, optimized geometry)
data_V3Pt2Rh2
_space_group_name_H-M_alt 'P 1'
_space_group_IT_number 1
_space_group_name_Hall 'P 1'
_cell_length_a 9.9176
_cell_length_b 9.9176
_cell_length_c 2.7262
_cell_angle_alpha 90.00
_cell_angle_beta 90.00
_cell_angle_gamma 157.88
loop_
_atom_site_label
_atom_site_type_symbol
_atom_site_fract_x
_atom_site_fract_y
_atom_site_fract_z
V1 V 0.0000 0.0000 0.0000
V2 V 0.1485 0.8515 0.0000
V3 V 0.8515 0.1485 0.0000
Pt1 Pt 0.4305 0.5695 0.5000
Pt2 Pt 0.5695 0.4305 0.5000
Rh1 Rh 0.2945 0.7055 0.5000
Rh2 Rh 0.7055 0.2945 0.5000
# - M_tot (μB/f.u.) = 0.00
# - density (g/cm3) = 12.3
# - energy of formation (meV per atom) = -360
# - calculated total energy (eV per atom) = -8.094
# - space-group type = No. 65

---

(11)
# V2Pt9Rh (PBE, optimized geometry)
data_V2Pt9Rh
_space_group_name_H-M_alt 'P 1'
_space_group_IT_number 1
_space_group_name_Hall 'P 1'
_cell_length_a 3.9234
_cell_length_b 3.9234
_cell_length_c 11.7727
_cell_angle_alpha 90.00
_cell_angle_beta 90.00
_cell_angle_gamma 90.00
loop_
_atom_site_label
_atom_site_type_symbol
_atom_site_fract_x
_atom_site_fract_y
_atom_site_fract_z
V1 V 0.0000 0.0000 0.1726
V2 V 0.0000 0.0000 0.8274
Pt1 Pt 0.0000 0.5000 0.0000
Pt2 Pt 0.0000 0.5000 0.3269
Pt3 Pt 0.0000 0.5000 0.6731
Pt4 Pt 0.5000 0.0000 0.0000
Pt5 Pt 0.5000 0.0000 0.3269
Pt6 Pt 0.5000 0.0000 0.6731
Pt7 Pt 0.5000 0.5000 0.1636
Pt8 Pt 0.5000 0.5000 0.5000
Pt9 Pt 0.5000 0.5000 0.8364
Rh1 Rh 0.0000 0.0000 0.5000
# - M_tot (μB/f.u.) = 0.89
# - density (g/cm3) = 18.0
# - energy of formation (meV per atom) = -329
# - calculated total energy (eV per atom) = -6.992
# - space-group type = No. 123

---

(12)
# V3PtRh3 (PBE, optimized geometry)
data_V3PtRh3
_space_group_name_H-M_alt 'P 1'
_space_group_IT_number 1
_space_group_name_Hall 'P 1'
_cell_length_a 6.7507
_cell_length_b 6.7507
_cell_length_c 6.7507
_cell_angle_alpha 58.27
_cell_angle_beta 58.27
_cell_angle_gamma 58.27
loop_
_atom_site_label
_atom_site_type_symbol
_atom_site_fract_x
_atom_site_fract_y
_atom_site_fract_z
V1 V 0.0820 0.8101 0.2953
V2 V 0.1899 0.7047 0.9180
V3 V 0.2953 0.0820 0.8101
V4 V 0.7047 0.9180 0.1899
V5 V 0.8101 0.2953 0.0820
V6 V 0.9180 0.1899 0.7047
Pt1 Pt 0.3444 0.3444 0.3444
Pt2 Pt 0.6556 0.6556 0.6556
Rh1 Rh 0.0792 0.5256 0.7439
Rh2 Rh 0.2561 0.9208 0.4744
Rh3 Rh 0.4744 0.2561 0.9208
Rh4 Rh 0.5256 0.7439 0.0792
Rh5 Rh 0.7439 0.0792 0.5256
Rh6 Rh 0.9208 0.4745 0.2561
# - M_tot (μB/f.u.) = 0.00
# - density (g/cm3) = 10.4
# - energy of formation (meV per atom) = -142
# - calculated total energy (eV per atom) = -8.064
# - space-group type = No. 148